First-principles (PBE-GGA) data for a relaxed Re2AuBr crystal, as listed in Alexandria.

The space group is Fm-3m (No. 225) and the conventional cell measures 6.389, 6.389 and 6.389 Å, with angles of 90.00, 90.00 and 90.00 degrees. Symmetry generates all atoms from Re at (0.250, 0.250, 0.250), Au at (0.000, 0.000, 0.000) and Br at (0.000, 0.000, 0.500).

The raw formation energy is 1.39 eV/atom. As for the density: 16.5 Mg/m³. As for the relative energy among the computed polymorphs: 715 meV per atom.